Material: Cr3CuB
Method: DFT, PBE
State: relaxed

Lattice parameters (Å, degrees): 4.198 4.198 4.198 90.00 90.00 90.00
Element x y z (fractional)
B1 0.500 0.500 0.500
Cu1 0.000 0.000 0.000
Cr1 0.000 0.500 0.000
Cr2 0.500 0.000 0.000
Cr3 0.000 0.000 0.500

Results
energy of formation: 53.1 kcal/mol of atoms
density: 5.171 g/cm3